KPd6Se2 | PBE | optimized geometry

Structure (POSCAR):
```
KPd6Se2
1.0
-1.0413 1.8202 3.5459
-3.2892 -2.4623 0.2980
5.6198 -6.8798 5.1819
Pd K Se
6 1 2
Direct
0.0000 0.5000 0.3133
0.5000 0.0000 0.6867
0.0000 0.0000 0.5000
0.0000 0.5000 0.6867
0.5000 0.5000 0.5000
0.5000 0.0000 0.3133
0.0000 0.0000 0.0000
0.5000 0.5000 0.1768
0.5000 0.5000 0.8232
```

Output
Symmetry   P4/mmm
E_form (uncorrected)   -2.875 eV per formula unit
DOS at the Fermi energy   10.17 states/eV/f.u.


KPd2Se2 | PBE | optimized geometry

Structure (POSCAR):
```
KPd2Se2
1.0
5.8407 0.0000 0.0000
0.0000 5.8407 0.0000
-2.9204 -2.9204 7.8656
K Pd Se
2 4 4
Direct
0.2623 0.7623 0.5246
0.0123 0.0123 0.0246
0.1205 0.3696 0.7392
0.6196 0.3687 0.2392
0.6187 0.3696 0.7392
0.6196 0.8705 0.2392
0.4646 0.7121 0.9291
0.9621 0.2146 0.4291
0.4646 0.2170 0.9291
0.4670 0.2146 0.4291
```

Output
Symmetry   I4_1md
E_form (uncorrected)   -1.592 eV per formula unit
DOS at the Fermi energy   3.30 states/eV/f.u.


KPd2Se | PBE | optimized geometry

Structure (POSCAR):
```
KPd2Se
1.0
-2.1205 -4.1689 -2.6588
4.9443 -1.8163 -1.0953
1.3392 -7.2749 4.8955
K Se Pd
2 2 4
Direct
0.2500 0.7500 0.5000
0.5000 0.5000 0.0000
0.0000 0.0000 0.0000
0.7500 0.2500 0.5000
0.8748 0.6250 0.2500
0.8752 0.1250 0.2500
0.3750 0.1248 0.7500
0.8750 0.1252 0.7500
```

Output
Symmetry   I4_1/amd
E_form (uncorrected)   -1.759 eV per formula unit
DOS at the Fermi energy   0.74 states/eV/f.u.


K3Pd2Se4 | PBE | optimized geometry

Structure (POSCAR):
```
K3Pd2Se4
1.0
0.0547 -1.2391 7.0176
-2.6494 -9.0577 1.9003
5.8684 -7.3250 2.1399
Se Pd K
8 4 6
Direct
0.2514 0.1952 0.3851
0.7486 0.8048 0.6149
0.2486 0.6149 0.8048
0.5604 0.8310 0.2614
0.7514 0.3851 0.1952
0.9396 0.7386 0.1690
0.0604 0.2614 0.8310
0.4396 0.1690 0.7386
0.4206 0.8644 0.5253
0.5794 0.1356 0.4747
0.0794 0.4747 0.1356
0.9206 0.5253 0.8644
0.2500 0.5483 0.4517
0.7500 0.4517 0.5483
0.4418 0.7567 0.9746
0.9418 0.9746 0.7567
0.0582 0.0254 0.2433
0.5582 0.2433 0.0254
```

Output
Symmetry   C2/c
E_form (uncorrected)   -5.564 eV per formula unit
DOS at the Fermi energy   5.94 states/eV/f.u.


K2PdSe8 | PBE | optimized geometry

Structure (POSCAR):
```
K2PdSe8
1.0
7.4139 0.6305 3.5793
3.7338 7.1083 4.2493
2.9611 1.7820 8.6066
K Se Pd
2 8 1
Direct
0.6281 0.9210 0.7275
0.3719 0.0790 0.2725
0.2030 0.6269 0.0608
0.7970 0.3731 0.9392
0.7183 0.4332 0.1988
0.2844 0.5193 0.4390
0.8718 0.0964 0.7607
0.1282 0.9036 0.2393
0.2817 0.5668 0.8012
0.7156 0.4807 0.5610
0.0000 0.0000 0.0000
```

Output
Symmetry   P-1
E_form (uncorrected)   -4.985 eV per formula unit


KPd3Se | PBE | optimized geometry

Structure (POSCAR):
```
KPd3Se
1.0
4.8447 0.0000 0.0000
0.0000 4.8447 0.0000
0.0000 0.0000 4.8447
K Pd Se
1 3 1
Direct
0.5000 0.5000 0.5000
0.0000 0.5000 0.0000
0.5000 0.0000 0.0000
0.0000 0.0000 0.5000
0.0000 0.0000 0.0000
```

Output
Symmetry   Pm-3m
E_form (uncorrected)   -0.732 eV per formula unit
DOS at the Fermi energy   3.61 states/eV/f.u.


KPd4Se8 | PBE | optimized geometry

Structure (POSCAR):
```
KPd4Se8
1.0
7.1323 0.0000 2.4001
3.1623 6.3929 2.4001
0.9240 0.5738 9.0516
Pd Se K
4 8 1
Direct
0.0000 0.0000 0.0000
0.5000 0.0000 0.0000
0.5000 0.5000 0.0000
0.0000 0.5000 0.0000
0.2787 0.2787 0.1640
0.7177 0.2232 0.8359
0.7213 0.7213 0.8360
0.2232 0.2232 0.8359
0.7768 0.7768 0.1641
0.2823 0.7768 0.1641
0.7768 0.2823 0.1641
0.2232 0.7177 0.8359
0.5000 0.5000 0.5000
```

Output
Symmetry   R-3m
E_form (uncorrected)   -4.833 eV per formula unit
DOS at the Fermi energy   6.47 states/eV/f.u.


KPd4Se2 | PBE | optimized geometry

Structure (POSCAR):
```
KPd4Se2
1.0
4.1841 0.0000 0.0000
0.0000 4.2191 0.0000
0.0000 -2.1095 8.2939
Se Pd K
2 4 1
Direct
0.5000 0.3889 0.7778
0.5000 0.6111 0.2222
0.0000 0.6908 0.3815
0.0000 0.3092 0.6185
0.5000 0.1931 0.3862
0.5000 0.8069 0.6138
0.0000 0.0000 0.0000
```

Output
Symmetry   Cmmm
E_form (uncorrected)   -3.029 eV per formula unit
DOS at the Fermi energy   7.06 states/eV/f.u.


KPd2Se2 | PBE | optimized geometry

Structure (POSCAR):
```
KPd2Se2
1.0
-4.3797 -1.4096 4.9056
2.9661 -5.6267 -4.0922
4.9121 3.0932 3.2257
Pd Se K
4 4 2
Direct
0.8066 0.7805 0.2694
0.9628 0.4890 0.2694
0.0372 0.5110 0.7306
0.1934 0.2195 0.7306
0.7004 0.4504 0.9009
0.0712 0.8212 0.6423
0.2996 0.5496 0.0991
0.9288 0.1788 0.3577
0.3766 0.1266 0.2532
0.6234 0.8734 0.7468
```

Output
Symmetry   C2/c
E_form (uncorrected)   -2.521 eV per formula unit
DOS at the Fermi energy   2.80 states/eV/f.u.


KSnPdSe3 | PBE | optimized geometry

Structure (POSCAR):
```
KSnPdSe3
1.0
3.8708 0.0000 0.0000
0.0000 7.9732 0.0346
0.0000 -3.8315 10.5432
Se Sn K Pd
6 2 2 2
Direct
0.2500 0.4589 0.8552
0.7500 0.9162 0.0886
0.2500 0.7579 0.5025
0.7500 0.2421 0.4975
0.2500 0.0838 0.9114
0.7500 0.5411 0.1448
0.7500 0.8416 0.3553
0.2500 0.1584 0.6447
0.7500 0.7282 0.7499
0.2500 0.2718 0.2501
0.2500 0.7299 0.1149
0.7500 0.2701 0.8851
```

Output
Symmetry   P2_1/m
E_form (uncorrected)   -3.194 eV per formula unit
DOS at the Fermi energy   3.41 states/eV/f.u.


KSr2PdSe | PBE | optimized geometry

Structure (POSCAR):
```
KSr2PdSe
1.0
-3.7296 -3.1256 3.2545
3.8427 -0.6491 3.7803
-1.7871 4.9002 2.6581
Se K Pd Sr
1 1 1 2
Direct
0.0000 0.5000 0.0000
0.5000 0.5000 0.5000
0.0000 0.0000 0.0000
0.5000 0.0000 0.0000
0.0000 0.0000 0.5000
```

Output
Symmetry   P4/mmm
E_form (uncorrected)   -2.117 eV per formula unit
DOS at the Fermi energy   1.95 states/eV/f.u.


K2TaPdSe4 | PBE | optimized geometry

Structure (POSCAR):
```
K2TaPdSe4
1.0
5.9037 0.0000 0.0000
2.9518 7.0119 0.0000
2.9518 0.0000 11.5516
Se K Ta Pd
8 4 2 2
Direct
0.1788 0.2875 0.3830
0.4382 0.7125 0.3830
0.5337 0.2875 0.6170
0.3118 0.7875 0.1170
0.8493 0.7125 0.6170
0.2163 0.2125 0.8830
0.5712 0.2125 0.1170
0.9007 0.7875 0.8830
0.9289 0.5000 0.1422
0.8211 0.0000 0.3578
0.1789 0.0000 0.6422
0.5711 0.5000 0.8578
0.2500 0.5000 0.5000
0.5000 0.0000 0.0000
0.7500 0.5000 0.5000
0.0000 0.0000 0.0000
```

Output
Symmetry   Fddd
E_form (uncorrected)   -7.213 eV per formula unit
DOS at the Fermi energy   4.78 states/eV/f.u.